A crystal of Ba3Y4O9 relaxed with PBEsol, computed with meta-GGA SCAN.

abc: 9.133 9.133 9.133
angles: 38.77 38.77 38.77
Positions (direct):
Ba 0.000 0.000 0.000
Ba 0.166 0.166 0.166
Ba 0.590 0.590 0.590
Y 0.300 0.300 0.300
Y 0.426 0.426 0.426
Y 0.740 0.740 0.740
Y 0.864 0.864 0.864
O 0.020 0.585 0.144
O 0.037 0.465 0.573
O 0.121 0.579 0.712
O 0.144 0.020 0.585
O 0.465 0.573 0.037
O 0.573 0.037 0.465
O 0.579 0.712 0.121
O 0.585 0.144 0.020
O 0.712 0.121 0.579

Output
SG = R3
Formation energy (no corrections) = -3.49 eV/atom
N(E_F) = 0.00 states/eV/f.u.
Crystal system = trigonal

A crystal of CuIr relaxed with PBEsol, computed with meta-GGA SCAN.

abc: 2.663 2.663 8.484
angles: 90.00 90.00 120.00
Positions (direct):
Cu 0.333 0.667 0.383
Cu 0.667 0.333 0.617
Ir 0.333 0.667 0.871
Ir 0.667 0.333 0.129

Output
Formation energy = 0.11 eV per atom
SG = P-3m1
N(E_F) = 1.85 states/eV/f.u.
Crystal system = trigonal

A crystal of BeAlCr3 relaxed with PBEsol, computed with meta-GGA SCAN.

abc: 3.943 3.943 3.943
angles: 90.00 90.00 90.00
Positions (direct):
Be 0.000 0.000 0.000
Al 0.500 0.500 0.500
Cr 0.000 0.000 0.500
Cr 0.000 0.500 0.000
Cr 0.500 0.000 0.000

Output
Formation energy = 0.65 eV per atom
SG = Pm-3m
Energy above the lowest structure with this stoichiometry = 0 meV/atom
N(E_F) = 3.87 states/eV/f.u.
Crystal system = cubic

A crystal of Li3Mn2CoO6 relaxed with PBEsol, computed with meta-GGA SCAN.

abc: 4.897 4.897 5.064
angles: 99.41 99.41 119.94
Positions (direct):
Li 0.000 0.000 0.000
Li 0.337 0.663 0.000
Li 0.663 0.337 0.000
Mn 0.167 0.833 0.500
Mn 0.833 0.167 0.500
Co 0.500 0.500 0.500
O 0.066 0.423 0.271
O 0.222 0.222 0.732
O 0.423 0.066 0.271
O 0.577 0.934 0.729
O 0.778 0.778 0.268
O 0.934 0.577 0.729

Output
SG = C2/m
Energy above the lowest structure with this stoichiometry = 11 meV/atom
Formation energy (no corrections) = -2.09 eV/atom
N(E_F) = 0.87 states/eV/f.u.
Crystal system = monoclinic

A crystal of Cu2GeP2H10O14 relaxed with PBEsol, computed with meta-GGA SCAN.

abc: 5.072 8.405 13.169
angles: 90.00 111.01 90.00
Positions (direct):
Cu 0.032 0.047 0.267
Cu 0.032 0.453 0.767
Cu 0.968 0.547 0.233
Cu 0.968 0.953 0.733
Ge 0.000 0.000 0.000
Ge 0.000 0.500 0.500
P 0.401 0.178 0.902
P 0.401 0.322 0.402
P 0.599 0.678 0.598
P 0.599 0.822 0.098
H 0.013 0.136 0.439
H 0.013 0.364 0.939
H 0.259 0.743 0.887
H 0.259 0.757 0.387
H 0.299 0.581 0.129
H 0.299 0.919 0.629
H 0.365 0.031 0.170
H 0.365 0.469 0.670
H 0.450 0.708 0.819
H 0.450 0.792 0.319
H 0.550 0.208 0.681
H 0.550 0.292 0.181
H 0.635 0.531 0.330
H 0.635 0.969 0.830
H 0.701 0.081 0.371
H 0.701 0.419 0.871
H 0.741 0.243 0.613
H 0.741 0.257 0.113
H 0.987 0.636 0.061
H 0.987 0.864 0.561
O 0.094 0.550 0.110
O 0.094 0.950 0.610
O 0.158 0.063 0.144
O 0.158 0.437 0.644
O 0.191 0.175 0.964
O 0.191 0.325 0.464
O 0.255 0.699 0.816
O 0.255 0.801 0.316
O 0.297 0.650 0.512
O 0.297 0.850 0.012
O 0.337 0.048 0.815
O 0.337 0.452 0.315
O 0.391 0.153 0.356
O 0.391 0.347 0.856
O 0.609 0.653 0.144
O 0.609 0.847 0.644
O 0.663 0.548 0.685
O 0.663 0.952 0.185
O 0.703 0.150 0.988
O 0.703 0.350 0.488
O 0.745 0.199 0.684
O 0.745 0.301 0.184
O 0.809 0.675 0.536
O 0.809 0.825 0.036
O 0.842 0.563 0.356
O 0.842 0.937 0.856
O 0.906 0.050 0.390
O 0.906 0.450 0.890

Output
SG = P2_1/c
N(E_F) = 0.00 states/eV/f.u.
Crystal system = monoclinic
Uncorrected energy = -8.08 eV/atom

A crystal of RbBa3Be relaxed with PBEsol, computed with meta-GGA SCAN.

abc: 6.502 6.502 6.502
angles: 90.00 90.00 90.00
Positions (direct):
Rb 0.000 0.000 0.000
Ba 0.000 0.500 0.500
Ba 0.500 0.000 0.500
Ba 0.500 0.500 0.000
Be 0.500 0.500 0.500

Output
Formation energy = 0.32 eV per atom
SG = Pm-3m
N(E_F) = 5.02 states/eV/f.u.
Crystal system = cubic

A crystal of Nb2Bi3Pb2ClO11 relaxed with PBEsol, computed with meta-GGA SCAN.

abc: 3.898 3.898 19.292
angles: 90.00 90.00 90.00
Positions (direct):
Nb 0.000 0.000 0.117
Nb 0.000 0.000 0.883
Bi 0.000 0.000 0.402
Bi 0.000 0.000 0.598
Bi 0.500 0.500 0.000
Pb 0.500 0.500 0.273
Pb 0.500 0.500 0.727
Cl 0.500 0.500 0.500
O 0.000 0.000 0.000
O 0.000 0.000 0.210
O 0.000 0.000 0.790
O 0.000 0.500 0.094
O 0.000 0.500 0.345
O 0.000 0.500 0.655
O 0.000 0.500 0.906
O 0.500 0.000 0.094
O 0.500 0.000 0.345
O 0.500 0.000 0.655
O 0.500 0.000 0.906

Output
SG = P4/mmm
Formation energy (no corrections) = -1.76 eV/atom
Crystal system = tetragonal

A crystal of CoPd3Rh relaxed with PBEsol, computed with meta-GGA SCAN.

abc: 4.376 4.376 4.376
angles: 90.00 90.00 90.00
Positions (direct):
Co 0.000 0.000 0.000
Pd 0.000 0.000 0.500
Pd 0.000 0.500 0.000
Pd 0.500 0.000 0.000
Rh 0.500 0.500 0.500

Output
Formation energy = 1.08 eV per atom
SG = Pm-3m
N(E_F) = 5.40 states/eV/f.u.
Crystal system = cubic

A crystal of ScSiRh2 relaxed with PBEsol, computed with meta-GGA SCAN.

abc: 6.086 6.086 6.086
angles: 90.00 90.00 90.00
Positions (direct):
Sc 0.000 0.000 0.000
Sc 0.000 0.500 0.500
Sc 0.500 0.000 0.500
Sc 0.500 0.500 0.000
Si 0.000 0.000 0.500
Si 0.000 0.500 0.000
Si 0.500 0.000 0.000
Si 0.500 0.500 0.500
Rh 0.250 0.250 0.250
Rh 0.250 0.250 0.750
Rh 0.250 0.750 0.250
Rh 0.250 0.750 0.750
Rh 0.750 0.250 0.250
Rh 0.750 0.250 0.750
Rh 0.750 0.750 0.250
Rh 0.750 0.750 0.750

Output
SG = Fm-3m
Formation energy (no corrections) = -1.03 eV/atom
N(E_F) = 3.70 states/eV/f.u.
Crystal system = cubic

A crystal of Mg5As relaxed with PBEsol, computed with meta-GGA SCAN.

abc: 5.021 3.222 15.673
angles: 90.00 90.00 90.00
Positions (direct):
Mg 0.000 0.000 0.000
Mg 0.000 0.000 0.322
Mg 0.000 0.500 0.500
Mg 0.000 0.500 0.822
Mg 0.500 0.000 0.208
Mg 0.500 0.000 0.546
Mg 0.500 0.000 0.880
Mg 0.500 0.500 0.046
Mg 0.500 0.500 0.380
Mg 0.500 0.500 0.708
As 0.000 0.000 0.656
As 0.000 0.500 0.156

Output
Formation energy = -0.06 eV per atom
SG = Amm2
Energy above the lowest structure with this stoichiometry = 7 meV/atom
N(E_F) = 2.36 states/eV/f.u.
Crystal system = orthorhombic

A crystal of Cd2HgRh2 relaxed with PBEsol, computed with meta-GGA SCAN.

abc: 6.923 6.923 3.730
angles: 90.00 90.00 90.00
Positions (direct):
Cd 0.163 0.337 0.000
Cd 0.337 0.837 0.000
Cd 0.663 0.163 0.000
Cd 0.837 0.663 0.000
Hg 0.000 0.000 0.500
Hg 0.500 0.500 0.500
Rh 0.134 0.634 0.500
Rh 0.366 0.134 0.500
Rh 0.634 0.866 0.500
Rh 0.866 0.366 0.500

Output
Formation energy = -0.06 eV per atom
SG = P4/mbm
N(E_F) = 2.88 states/eV/f.u.
Crystal system = tetragonal

A crystal of GaGe2PF relaxed with PBEsol, computed with meta-GGA SCAN.

abc: 4.903 4.903 3.675
angles: 90.00 90.00 90.00
Positions (direct):
Ga 0.000 0.000 0.000
Ge 0.000 0.500 0.500
Ge 0.500 0.000 0.500
P 0.500 0.500 0.500
F 0.500 0.500 0.000

Output
SG = P4/mmm
Formation energy (no corrections) = -0.02 eV/atom
N(E_F) = 1.76 states/eV/f.u.
Crystal system = tetragonal

A crystal of YZn2Rh2 relaxed with PBEsol, computed with meta-GGA SCAN.

abc: 3.882 3.882 11.317
angles: 90.00 90.00 90.00
Positions (direct):
Y 0.000 0.000 0.000
Y 0.500 0.500 0.500
Zn 0.000 0.500 0.250
Zn 0.000 0.500 0.750
Zn 0.500 0.000 0.250
Zn 0.500 0.000 0.750
Rh 0.000 0.000 0.389
Rh 0.000 0.000 0.611
Rh 0.500 0.500 0.111
Rh 0.500 0.500 0.889

Output
Formation energy = -0.58 eV per atom
SG = I4/mmm
Energy above the lowest structure with this stoichiometry = 0 meV/atom
N(E_F) = 1.81 states/eV/f.u.
Crystal system = tetragonal

A crystal of MnBeCo relaxed with PBEsol, computed with meta-GGA SCAN.

abc: 2.412 3.275 7.045
angles: 90.00 90.00 90.00
Positions (direct):
Mn 0.000 0.000 0.000
Mn 0.500 0.500 0.500
Be 0.000 0.000 0.669
Be 0.500 0.500 0.169
Co 0.000 0.000 0.330
Co 0.500 0.500 0.830

Output
Formation energy = -0.02 eV per atom
SG = Imm2
Energy above the lowest structure with this stoichiometry = 35 meV/atom
N(E_F) = 2.36 states/eV/f.u.
Crystal system = orthorhombic

A crystal of Mn5Fe3 relaxed with PBEsol, computed with meta-GGA SCAN.

abc: 6.918 6.920 3.458
angles: 90.00 90.00 90.00
Positions (direct):
Mn 0.000 0.000 0.000
Mn 0.250 0.000 0.500
Mn 0.250 0.250 0.000
Mn 0.250 0.500 0.500
Mn 0.250 0.750 0.000
Mn 0.500 0.500 0.000
Mn 0.750 0.000 0.500
Mn 0.750 0.250 0.000
Mn 0.750 0.500 0.500
Mn 0.750 0.750 0.000
Fe 0.000 0.254 0.500
Fe 0.000 0.500 0.000
Fe 0.000 0.746 0.500
Fe 0.500 0.000 0.000
Fe 0.500 0.246 0.500
Fe 0.500 0.754 0.500

Output
Formation energy = 0.01 eV per atom
SG = Cmmm
N(E_F) = 5.44 states/eV/f.u.
Crystal system = orthorhombic

A crystal of TaRe2AgS relaxed with PBEsol, computed with meta-GGA SCAN.

abc: 4.338 4.338 4.463
angles: 90.00 90.00 90.00
Positions (direct):
Ta 0.000 0.000 0.000
Re 0.000 0.500 0.500
Re 0.500 0.000 0.500
Ag 0.500 0.500 0.000
S 0.500 0.500 0.500

Output
SG = P4/mmm
Formation energy (no corrections) = 1.19 eV/atom
N(E_F) = 3.85 states/eV/f.u.
Crystal system = tetragonal

A crystal of PCS2Cl relaxed with PBEsol, computed with meta-GGA SCAN.

abc: 4.490 4.490 4.603
angles: 90.00 90.00 90.00
Positions (direct):
P 0.000 0.000 0.000
C 0.500 0.500 0.000
S 0.000 0.500 0.500
S 0.500 0.000 0.500
Cl 0.000 0.000 0.500

Output
SG = P4/mmm
Formation energy (no corrections) = 2.67 eV/atom
N(E_F) = 3.27 states/eV/f.u.
Crystal system = tetragonal

A crystal of CuAu relaxed with PBEsol, computed with meta-GGA SCAN.

abc: 2.710 9.954 4.363
angles: 90.00 90.00 90.00
Positions (direct):
Cu 0.000 0.156 0.250
Cu 0.000 0.844 0.750
Cu 0.500 0.344 0.750
Cu 0.500 0.656 0.250
Au 0.000 0.411 0.250
Au 0.000 0.589 0.750
Au 0.500 0.089 0.750
Au 0.500 0.911 0.250

Output
Formation energy = 0.00 eV per atom
SG = Cmcm
N(E_F) = 0.56 states/eV/f.u.
Crystal system = orthorhombic

A crystal of LiMgBe relaxed with PBEsol, computed with meta-GGA SCAN.

abc: 6.138 6.138 6.138
angles: 90.00 90.00 90.00
Positions (direct):
Li 0.000 0.000 0.000
Li 0.000 0.500 0.500
Li 0.500 0.000 0.500
Li 0.500 0.500 0.000
Mg 0.250 0.250 0.250
Mg 0.250 0.750 0.750
Mg 0.750 0.250 0.750
Mg 0.750 0.750 0.250
Be 0.000 0.000 0.500
Be 0.000 0.500 0.000
Be 0.500 0.000 0.000
Be 0.500 0.500 0.500

Output
Formation energy = 0.71 eV per atom
SG = F-43m
Energy above the lowest structure with this stoichiometry = 489 meV/atom
N(E_F) = 1.65 states/eV/f.u.
Crystal system = cubic

A crystal of KSi4Au relaxed with PBEsol, computed with meta-GGA SCAN.

abc: 5.327 5.327 5.327
angles: 60.00 60.00 60.00
Positions (direct):
K 0.000 0.000 0.000
Si 0.376 0.376 0.376
Si 0.376 0.376 0.871
Si 0.376 0.871 0.376
Si 0.871 0.376 0.376
Au 0.750 0.750 0.750

Output
SG = F-43m
Formation energy (no corrections) = 0.61 eV/atom
N(E_F) = 3.83 states/eV/f.u.
Crystal system = cubic